1.
# Co2HgP2

A geometry-optimized Co2HgP2 structure (PBE-GGA, the Alexandria database).

Output
density of states at the Fermi level: 0.545 states/eV/atom
symmetry: No. 139
total energy: -5.1569 eV/atom

Lattice parameters (Å, degrees): 3.5340 3.5340 6.1904 73.41 73.41 90.00
Element x y z (fractional)
1 Co 0.3668 0.3668 0.2665
2 Co 0.6332 0.6332 0.7335
3 Hg 0.0000 0.0000 0.0000
4 P 0.2500 0.7500 0.5000
5 P 0.7500 0.2500 0.5000

---

2.
# LiCaSb2

A geometry-optimized LiCaSb2 structure (PBE-GGA, the Alexandria database).

Output
density of states at the Fermi level: 0.499 states/eV/atom
ΔE to the lowest computed polymorph: 314 meV/atom
symmetry: No. 216
total energy: -3.3475 eV/atom

Lattice parameters (Å, degrees): 5.3194 5.3194 5.3194 60.00 60.00 60.00
Element x y z (fractional)
1 Li 0.7500 0.7500 0.7500
2 Ca 0.5000 0.5000 0.5000
3 Sb 0.0000 0.0000 0.0000
4 Sb 0.2500 0.2500 0.2500

---

3.
# Li3CeTh2Te6

A geometry-optimized Li3CeTh2Te6 structure (PBE-GGA, the Alexandria database).

Output
density of states at the Fermi level: 1.012 states/eV/atom
symmetry: No. 12
total energy: -4.9110 eV/atom

Lattice parameters (Å, degrees): 7.5566 7.5566 7.6598 99.46 99.46 119.99
Element x y z (fractional)
1 Th 0.3337 0.6663 0.0000
2 Th 0.6663 0.3337 0.0000
3 Ce 0.0000 0.0000 0.0000
4 Te 0.5747 0.9109 0.7321
5 Te 0.0891 0.4253 0.2679
6 Te 0.2462 0.2462 0.7311
7 Te 0.4253 0.0891 0.2679
8 Te 0.7538 0.7538 0.2689
9 Te 0.9109 0.5747 0.7321
10 Li 0.8330 0.1670 0.5000
11 Li 0.1670 0.8330 0.5000
12 Li 0.5000 0.5000 0.5000

---

4.
# CeGaSe

A geometry-optimized CeGaSe structure (PBE-GGA, the Alexandria database).

Output
density of states at the Fermi level: 2.051 states/eV/atom
ΔE to the lowest computed polymorph: 0 meV/atom
symmetry: No. 107
total energy: -4.9279 eV/atom

Lattice parameters (Å, degrees): 4.0265 4.0265 5.6029 111.06 111.06 90.00
Element x y z (fractional)
1 Ce 0.2555 0.2555 0.5110
2 Ga 0.9293 0.9293 0.8586
3 Se 0.6652 0.6652 0.3305